A plane-wave DFT calculation with PBE was carried out for an optimized crystal structure of BeVSe.

The structure in POSCAR format:
```
BeVSe
1.0
3.3317 0.0000 0.0000
0.0000 3.7414 0.0000
-1.6477 -0.0248 8.2191
Be V Se
2 2 2
direct
0.0000 0.0000 0.0000
0.3992 0.9984 0.7963
0.4924 0.4999 0.9851
0.8786 0.4982 0.7549
0.0994 0.5017 0.2015
0.7909 0.9971 0.5778
```

SG: P1 (1)
Offset from the most stable computed form (meV per atom): 117

A plane-wave DFT calculation with PBE was carried out for an optimized crystal structure of KNaNiS2.

The structure in POSCAR format:
```
KNaNiS2
1.0
5.4453 0.0000 0.0000
0.0000 7.1640 0.0000
0.0000 0.0000 5.6957
K Na Ni S
2 2 2 4
direct
0.2500 0.0000 0.2397
0.7500 0.0000 0.7603
0.2500 0.5000 0.4217
0.7500 0.5000 0.5783
0.0000 0.5000 0.0000
0.5000 0.5000 0.0000
0.2500 0.2897 0.8294
0.2500 0.7103 0.8294
0.7500 0.2897 0.1706
0.7500 0.7103 0.1706
```

SG: Pmma (51)

no.,formation energy (no corrections) (eV per atom)
1,-0.2545
2,-0.7458